DFT (PBE) results for an optimized crystal structure of SrZn3Ir.

Raw total energy   -2.79 eV/atom
DOS at the Fermi energy   12.25 states/eV per cell
Spin magnetization   0.000 μB per cell
Energy of formation from the pure elements   85 meV per atom

a b c (Å): 4.6040 4.6040 23.2699
angles (deg): 90.00 90.00 90.00
Closest atoms and distances in Å follow each position.
Space group I-4m2 (No. 119)
Inequivalent atoms, fractional coordinates:
Sr: 0.0000 0.0000 0.0000 (multiplicity 2)  4 Zn 3.20
Sr: 0.0000 0.5000 0.2500 (multiplicity 2)  8 Zn 3.06-3.27
Zn: 0.0000 0.0000 0.3501 (multiplicity 4)  2 Ir 2.55, 4 Zn 2.63
Zn: 0.0000 0.2454 0.1286 (multiplicity 8)  2 Zn 2.26-2.34
Ir: 0.0000 0.5000 0.6975 (multiplicity 4)  1 Ir 2.44, 2 Zn 2.55